Here is a geometry-optimized Rb3Ni2PbF9 structure from Alexandria via LeMat-Bulk. Energies are from PBE with a Hubbard U. Values from VASP.

```
&SYSTEM
  ibrav = 0, nat = 15, ntyp = 4
/
ATOMIC_SPECIES
Rb 85.47 Rb.upf
Ni 58.69 Ni.upf
Pb 207.20 Pb.upf
F 19.00 F.upf
CELL_PARAMETERS angstrom
6.1035 0.0000 0.0000
-3.0518 5.2858 0.0000
0.0000 0.0000 7.6922
ATOMIC_POSITIONS crystal
Rb 0.0000 0.0000 0.0000
Rb 0.3333 0.6667 0.6895
Rb 0.6667 0.3333 0.3105
Ni 0.3333 0.6667 0.1493
Ni 0.6667 0.3333 0.8507
Pb 0.0000 0.0000 0.5000
F 0.0000 0.5000 0.0000
F 0.1793 0.3587 0.3046
F 0.1793 0.8207 0.3046
F 0.3587 0.1793 0.6954
F 0.5000 0.0000 0.0000
F 0.5000 0.5000 0.0000
F 0.6413 0.8207 0.3046
F 0.8207 0.1793 0.6954
F 0.8207 0.6413 0.6954
```

Properties
- mass density (g/cm³) = 5.03
- final energy (eV/atom) = -4.3693
- spin magnetization (μB per cell) = 4.00
- crystal system = trigonal